{
  "formula": "Co5Sn3O12",
  "functional": "PBE with a Hubbard U",
  "state": "optimized geometry",
  "magmom_total_mub_per_cell": 36.33,
  "energy_ev_per_atom": -5.989,
  "lattice_angstrom": [[-6.0491, 6.0491, 6.0491], [6.0491, -6.0491, 6.0491], [6.0491, 6.0491, -6.0491]],
  "species": ["Co", "Co", "Co", "Co", "Co", "Co", "Co", "Co", "Co", "Co", "Co", "Co", "Co", "Co", "Co", "Co", "Co", "Co", "Co", "Co", "Sn", "Sn", "Sn", "Sn", "Sn", "Sn", "Sn", "Sn", "Sn", "Sn", "Sn", "Sn", "O", "O", "O", "O", "O", "O", "O", "O", "O", "O", "O", "O", "O", "O", "O", "O", "O", "O", "O", "O", "O", "O", "O", "O", "O", "O", "O", "O", "O", "O", "O", "O", "O", "O", "O", "O", "O", "O", "O", "O", "O", "O", "O", "O", "O", "O", "O", "O"],
  "frac_coords": [[0.0000, 0.0000, 0.0000], [0.0000, 0.0000, 0.5000], [0.0000, 0.5000, 0.0000], [0.0000, 0.5000, 0.5000], [0.1250, 0.7500, 0.8750], [0.1250, 0.8750, 0.2500], [0.2500, 0.1250, 0.8750], [0.2500, 0.6250, 0.3750], [0.3750, 0.2500, 0.6250], [0.3750, 0.6250, 0.7500], [0.5000, 0.0000, 0.0000], [0.5000, 0.0000, 0.5000], [0.5000, 0.5000, 0.0000], [0.5000, 0.5000, 0.5000], [0.6250, 0.3750, 0.2500], [0.6250, 0.7500, 0.3750], [0.7500, 0.3750, 0.6250], [0.7500, 0.8750, 0.1250], [0.8750, 0.1250, 0.7500], [0.8750, 0.2500, 0.1250], [0.1250, 0.2500, 0.3750], [0.1250, 0.3750, 0.7500], [0.2500, 0.3750, 0.1250], [0.2500, 0.8750, 0.6250], [0.3750, 0.1250, 0.2500], [0.3750, 0.7500, 0.1250], [0.6250, 0.2500, 0.8750], [0.6250, 0.8750, 0.7500], [0.7500, 0.1250, 0.3750], [0.7500, 0.6250, 0.8750], [0.8750, 0.6250, 0.2500], [0.8750, 0.7500, 0.6250], [0.0365, 0.2047, 0.1294], [0.0365, 0.3318, 0.9070], [0.0752, 0.7047, 0.6682], [0.0752, 0.8706, 0.4070], [0.0930, 0.6294, 0.4248], [0.0930, 0.9635, 0.6682], [0.1294, 0.0365, 0.2047], [0.1294, 0.5930, 0.9248], [0.1682, 0.2047, 0.5752], [0.1682, 0.4635, 0.5930], [0.2047, 0.1294, 0.0365], [0.2047, 0.5752, 0.1682], [0.2953, 0.3318, 0.9248], [0.2953, 0.4635, 0.3706], [0.3318, 0.9070, 0.0365], [0.3318, 0.9248, 0.2953], [0.3706, 0.2953, 0.4635], [0.3706, 0.5752, 0.9070], [0.4070, 0.0752, 0.8706], [0.4070, 0.8318, 0.5365], [0.4248, 0.0930, 0.6294], [0.4248, 0.8318, 0.7953], [0.4635, 0.3706, 0.2953], [0.4635, 0.5930, 0.1682], [0.5365, 0.4070, 0.8318], [0.5365, 0.6294, 0.7047], [0.5752, 0.1682, 0.2047], [0.5752, 0.9070, 0.3706], [0.5930, 0.1682, 0.4635], [0.5930, 0.9248, 0.1294], [0.6294, 0.4248, 0.0930], [0.6294, 0.7047, 0.5365], [0.6682, 0.0752, 0.7047], [0.6682, 0.0930, 0.9635], [0.7047, 0.5365, 0.6294], [0.7047, 0.6682, 0.0752], [0.7953, 0.4248, 0.8318], [0.7953, 0.8706, 0.9635], [0.8318, 0.5365, 0.4070], [0.8318, 0.7953, 0.4248], [0.8706, 0.4070, 0.0752], [0.8706, 0.9635, 0.7953], [0.9070, 0.0365, 0.3318], [0.9070, 0.3706, 0.5752], [0.9248, 0.1294, 0.5930], [0.9248, 0.2953, 0.3318], [0.9635, 0.6682, 0.0930], [0.9635, 0.7953, 0.8706]]
}